No. 1
Crystalline InRuPb2 at its relaxed geometry, computed with GGA-PBE.

Structure (POSCAR):
```
InRuPb2
1.0
3.3212 0.0000 0.0000
0.0000 3.3212 0.0000
0.0000 0.0000 8.7465
In Ru Pb
1 1 2
direct
0.0000 0.0000 0.0000 In
0.5000 0.5000 0.8295 Ru
0.0000 0.0000 0.6272 Pb
0.5000 0.5000 0.2901 Pb
```

Results
Total energy, eV per formula unit: -18.7
DOS(E_F), states/eV per cell: 1.718
Size of the total moment, μB/cell: 0.00
Volume, Å³ per cell: 96



No. 2
Crystalline InRuPb2 at its relaxed geometry, computed with GGA-PBE.

Structure (POSCAR):
```
InRuPb2
1.0
1.6758 0.9675 10.1222
-1.6758 0.9675 10.1222
0.0000 -1.9350 10.1222
In Ru Pb
1 1 2
direct
0.0000 0.0000 0.0000 In
0.2693 0.2693 0.2693 Ru
0.5349 0.5349 0.5349 Pb
0.7633 0.7633 0.7633 Pb
```

Results
Total energy, eV per formula unit: -18.3
DOS(E_F), states/eV per cell: 4.391
Size of the total moment, μB/cell: 0.00
Volume, Å³ per cell: 98



Energy relative to the elements / meV per atom: 181, 271